(1)
Material: KTl2Bi2
Method: DFT, meta-GGA SCAN
State: PBEsol geometry

formation energy from the elements	-0.208	eV per atom
N(E_F)	0.4748	states/eV per atom
SG	I4/mmm, No. 139
calculated density	7.9	g/cm³
crystal system	tetragonal

a b c (Å): 5.166 5.166 13.560
angles (deg): 90.00 90.00 90.00
Sites, in units of the cell vectors:
K 0.000 0.000 0.000
K 0.500 0.500 0.500
Tl 0.000 0.500 0.250
Tl 0.000 0.500 0.750
Tl 0.500 0.000 0.250
Tl 0.500 0.000 0.750
Bi 0.000 0.000 0.384
Bi 0.000 0.000 0.616
Bi 0.500 0.500 0.116
Bi 0.500 0.500 0.884


(2)
Material: ZrSi2Pt
Method: DFT, meta-GGA SCAN
State: PBEsol geometry

N(E_F)	0.4686	states/eV per atom
formation energy (no corrections)	-0.66	eV/atom
SG	Pmmm, No. 47
calculated density	9.2	g/cm³
crystal system	orthorhombic

a b c (Å): 3.626 4.011 4.228
angles (deg): 90.00 90.00 90.00
Sites, in units of the cell vectors:
Zr 0.000 0.000 0.000
Si 0.500 0.000 0.500
Si 0.500 0.500 0.000
Pt 0.000 0.500 0.500


(3)
Material: MgHg5
Method: DFT, meta-GGA SCAN
State: PBEsol geometry

formation energy from the elements	-0.060	eV per atom
N(E_F)	0.2105	states/eV per atom
SG	R32, No. 155
calculated density	12.7	g/cm³
crystal system	trigonal

a b c (Å): 6.362 6.362 6.362
angles (deg): 48.95 48.95 48.95
Sites, in units of the cell vectors:
Mg 0.000 0.000 0.000
Hg 0.163 0.837 0.500
Hg 0.337 0.337 0.337
Hg 0.500 0.163 0.837
Hg 0.663 0.663 0.663
Hg 0.837 0.500 0.163


(4)
Material: SiAs2IrSe
Method: DFT, meta-GGA SCAN
State: PBEsol geometry

N(E_F)	0.6987	states/eV per atom
formation energy (no corrections)	0.82	eV/atom
SG	P4/mmm, No. 123
calculated density	6.6	g/cm³
crystal system	tetragonal

a b c (Å): 4.617 4.617 5.290
angles (deg): 90.00 90.00 90.00
Sites, in units of the cell vectors:
Si 0.000 0.000 0.000
As 0.000 0.500 0.500
As 0.500 0.000 0.500
Ir 0.500 0.500 0.500
Se 0.500 0.500 0.000


(5)
Material: SiAg2P
Method: DFT, meta-GGA SCAN
State: PBEsol geometry

N(E_F)	0.4572	states/eV per atom
formation energy (no corrections)	0.56	eV/atom
SG	I-42d, No. 122
calculated density	6.7	g/cm³
crystal system	tetragonal

a b c (Å): 7.195 7.195 5.244
angles (deg): 90.00 90.00 90.00
Sites, in units of the cell vectors:
Si 0.000 0.000 0.000
Si 0.000 0.500 0.250
Si 0.500 0.000 0.750
Si 0.500 0.500 0.500
Ag 0.241 0.250 0.625
Ag 0.250 0.741 0.875
Ag 0.250 0.759 0.375
Ag 0.259 0.250 0.125
Ag 0.741 0.750 0.125
Ag 0.750 0.241 0.375
Ag 0.750 0.259 0.875
Ag 0.759 0.750 0.625
P 0.000 0.000 0.500
P 0.000 0.500 0.750
P 0.500 0.000 0.250
P 0.500 0.500 0.000


(6)
Material: BaScIn
Method: DFT, meta-GGA SCAN
State: PBEsol geometry

formation energy from the elements	0.025	eV per atom
N(E_F)	0.9241	states/eV per atom
SG	F-43m, No. 216
calculated density	4.5	g/cm³
crystal system	cubic

a b c (Å): 7.593 7.593 7.593
angles (deg): 90.00 90.00 90.00
Sites, in units of the cell vectors:
Ba 0.000 0.000 0.000
Ba 0.000 0.500 0.500
Ba 0.500 0.000 0.500
Ba 0.500 0.500 0.000
Sc 0.000 0.000 0.500
Sc 0.000 0.500 0.000
Sc 0.500 0.000 0.000
Sc 0.500 0.500 0.500
In 0.250 0.250 0.250
In 0.250 0.750 0.750
In 0.750 0.250 0.750
In 0.750 0.750 0.250